No. 1
Material: CeCoNi2P2
Method: DFT, GGA-PBE
State: relaxed

Lattice parameters (Å, degrees): 4.343 4.343 4.880 90.00 90.00 90.00
Fractional coordinates of all 6 atoms:
1 Co 0.000 0.000 0.000
2 P 0.500 0.000 0.000
3 P 0.000 0.500 0.000
4 Ni 0.500 0.500 0.250
5 Ni 0.500 0.500 0.750
6 Ce 0.000 0.000 0.500

Formation enthalpy at 0 K   -0.35 eV per atom
Calculated volume   15.3 Å³/atom

***

No. 2
Material: Ba2CdS2I2
Method: DFT, GGA-PBE
State: relaxed

Lattice parameters (Å, degrees): 5.171 5.171 9.714 105.43 105.43 90.00
Fractional coordinates of all 7 atoms:
1 Ba 0.612 0.612 0.224
2 Ba 0.388 0.388 0.776
3 I 0.816 0.816 0.631
4 I 0.184 0.184 0.369
5 S 0.000 0.500 0.000
6 S 0.500 0.000 0.000
7 Cd 0.000 0.000 0.000

E_form (uncorrected)   -145.71 kJ per mole of atoms
Calculated volume   34.4 Å³/atom

***

No. 3
Material: Ho6Cd5Hg
Method: DFT, GGA-PBE
State: relaxed

Lattice parameters (Å, degrees): 5.257 7.448 8.329 90.00 71.79 90.00
Fractional coordinates of all 12 atoms:
1 Ho 0.165 0.750 0.669
2 Ho 0.835 0.250 0.331
3 Ho 0.500 0.753 0.000
4 Ho 0.165 0.250 0.669
5 Ho 0.500 0.247 0.000
6 Ho 0.835 0.750 0.331
7 Cd 0.330 0.000 0.341
8 Cd 0.670 0.000 0.659
9 Cd 0.333 0.500 0.335
10 Cd 0.667 0.500 0.665
11 Cd 0.000 0.500 0.000
12 Hg 0.000 0.000 0.000

Formation enthalpy at 0 K   -0.35 eV per atom
Calculated volume   25.8 Å³/atom